(1)
Here is a relaxed Sm3Mg7Cd2 crystal from Alexandria. Energies are from PBE.

a = 6.0364 Å, b = 6.0364 Å, c = 10.3406 Å
α = 73.03°, β = 73.03°, γ = 60.00°
Positions (direct):
Cd 0.3343 0.3343 0.9972
Mg 0.5000 0.5000 0.5000
Sm 0.1443 0.1443 0.5671
Sm 0.0000 0.0000 0.0000
Mg 0.4161 0.4161 0.2462
Cd 0.6657 0.6657 0.0028
Mg 0.5839 0.5839 0.7538
Mg 0.0783 0.5839 0.7538
Mg 0.5839 0.0783 0.7538
Mg 0.9217 0.4161 0.2462
Mg 0.4161 0.9217 0.2462
Sm 0.8557 0.8557 0.4329

Results
* formation enthalpy at 0 K: -122 meV/atom

---

(2)
Here is a relaxed ZrZnSb2 crystal from Alexandria. Energies are from PBE.

a = 8.0700 Å, b = 8.0700 Å, c = 8.0700 Å
α = 27.12°, β = 27.12°, γ = 27.12°
Positions (direct):
Zn 0.7500 0.7500 0.7500
Zr 0.2500 0.2500 0.2500
Sb 0.4978 0.4978 0.4978
Sb 0.0022 0.0022 0.0022

Results
* ΔE_f (raw): -70 kJ/mol of formula units

---

(3)
Here is a relaxed FeRuRh2 crystal from Alexandria. Energies are from PBE.

a = 4.2584 Å, b = 4.2584 Å, c = 4.2584 Å
α = 60.00°, β = 60.00°, γ = 60.00°
Positions (direct):
Fe 0.0000 0.0000 0.0000
Rh 0.7500 0.7500 0.7500
Rh 0.2500 0.2500 0.2500
Ru 0.5000 0.5000 0.5000

Results
* formation enthalpy at 0 K: 532 meV/atom

---

(4)
Here is a relaxed BPH crystal from Alexandria. Energies are from PBE.

a = 4.0500 Å, b = 3.2127 Å, c = 5.5782 Å
α = 90.00°, β = 114.43°, γ = 90.00°
Positions (direct):
P 0.7786 0.0000 0.8007
H 0.2848 0.0000 0.6230
B 0.9102 0.0000 0.5048
H 0.2848 0.5000 0.1230
P 0.7786 0.5000 0.3007
B 0.9102 0.5000 0.0048

Results
* energy above the most stable polymorph in this dataset: 68.3 meV/atom

---

(5)
Here is a relaxed Cr2HgW crystal from Alexandria. Energies are from PBE.

a = 3.8956 Å, b = 2.8239 Å, c = 5.9941 Å
α = 69.70°, β = 90.00°, γ = 90.00°
Positions (direct):
W 0.5000 0.7734 0.8035
Cr 0.5000 0.2143 0.1959
Cr 0.0000 0.0126 0.0111
Hg 0.0000 0.4998 0.4895

Results
* formation enthalpy at 0 K: 546 meV/atom

---

(6)
Here is a relaxed Tb4Sm2Se9 crystal from Alexandria. Energies are from PBE.

a = 7.2860 Å, b = 7.2882 Å, c = 19.6148 Å
α = 90.01°, β = 90.03°, γ = 60.05°
Positions (direct):
Se 0.3413 0.0273 0.5837
Se 0.9989 0.6937 0.2501
Tb 0.3344 0.3331 0.6822
Sm 0.9998 0.9987 0.1497
Se 0.9712 0.6611 0.9167
Se 0.6939 0.0003 0.7501
Tb 0.6671 0.6665 0.0145
Tb 0.3323 0.3337 0.1825
Sm 0.0002 0.0013 0.8503
Se 0.6325 0.3401 0.5837
Se 0.3407 0.6304 0.0836
Tb 0.3340 0.3333 0.4859
Tb 0.6677 0.6663 0.8175
Se 0.0284 0.6308 0.5832
Se 0.0011 0.3063 0.7499
Tb 0.3329 0.3335 0.9855
Se 0.6587 0.9727 0.4163
Se 0.0288 0.3389 0.0833
Se 0.3675 0.6599 0.4163
Tb 0.6660 0.6667 0.5141
Sm 0.0011 0.9984 0.6501
Se 0.6935 0.3069 0.2497
Se 0.3065 0.6931 0.7503
Sm 0.9989 0.0016 0.3499
Se 0.3061 0.9997 0.2499
Se 0.3699 0.9710 0.9165
Se 0.6301 0.0290 0.0835
Se 0.9716 0.3692 0.4168
Se 0.6593 0.3696 0.9164
Tb 0.6656 0.6669 0.3178

Results
* ΔE_f (raw): -2697 kJ/mol of formula units

---

(7)
Here is a relaxed CeEu2Pd crystal from Alexandria. Energies are from PBE.

a = 3.6650 Å, b = 3.6650 Å, c = 9.0350 Å
α = 90.00°, β = 90.00°, γ = 90.00°
Positions (direct):
Eu 0.0000 0.0000 0.1933
Eu 0.0000 0.0000 0.8067
Ce 0.5000 0.5000 0.5000
Pd 0.5000 0.5000 0.0000

Results
* formation enthalpy at 0 K: -191 meV/atom

---

(8)
Here is a relaxed CeYRe crystal from Alexandria. Energies are from PBE.

a = 5.9213 Å, b = 5.9213 Å, c = 14.2707 Å
α = 78.03°, β = 78.03°, γ = 60.00°
Positions (direct):
Re 0.6203 0.6203 0.1391
Ce 0.7258 0.7258 0.3289
Ce 0.7805 0.2742 0.6711
Ce 0.2195 0.7258 0.3289
Re 0.0000 0.5000 0.0000
Re 0.3797 0.3797 0.8609
Ce 0.7258 0.2195 0.3289
Re 0.5000 0.5000 0.0000
Y 0.9642 0.9642 0.1074
Y 0.8184 0.8184 0.5449
Y 0.0358 0.0358 0.8926
Y 0.2745 0.2745 0.1765
Re 0.5000 0.5000 0.5000
Y 0.1816 0.1816 0.4551
Y 0.7255 0.7255 0.8235
Ce 0.2742 0.2742 0.6711
Ce 0.2742 0.7805 0.6711
Re 0.5000 0.0000 0.0000

Results
* formation enthalpy at 0 K: 170 meV/atom
* energy above the most stable polymorph in this dataset: 77.2 meV/atom

---

(9)
Here is a relaxed NaZrPa2O8 crystal from Alexandria. Energies are from PBE.

a = 4.9898 Å, b = 4.9902 Å, c = 7.1378 Å
α = 90.00°, β = 90.00°, γ = 88.97°
Positions (direct):
Pa 0.5000 0.5000 0.7470
Zr 0.0000 0.0000 0.0000
O 0.7993 0.2023 0.2227
O 0.2007 0.7977 0.7773
O 0.6776 0.6791 0.5000
Pa 0.5000 0.5000 0.2530
O 0.3224 0.3209 0.5000
O 0.6966 0.6980 0.0000
Na 0.0000 0.0000 0.5000
O 0.7993 0.2023 0.7773
O 0.3034 0.3020 0.0000
O 0.2007 0.7977 0.2227

Results
* ΔE_f (raw): -3537 kJ/mol of formula units

---

no.,total DFT energy (no corrections) (eV per atom),total moment (μB/cell)
1,-2.384,0.0
2,-4.697,0.0
3,-7.578,0.0
4,-5.111,0.0
5,-7.579,0.0
6,-5.818,0.0
7,-8.110,16.3
8,-8.112,3.8
9,-8.766,0.0